No. 1
14
Lattice="-3.969 -1.524 0.954 2.562 -3.312 5.369 -2.721 8.399 2.094" Properties=species:S:1:pos:R:3 comment="NaAl3Zn3, relaxed, DFT GGA-PBE" dft_energy_ev_per_atom=-2.281 magmom_total_mub_per_fu=0.00 de_polymorph_ev_per_atom=0.0000 ef_ev_per_atom=0.057 dos_at_fermi_per_ev_atom=0.365 pbc="T T T"
Na -3.906 3.522 4.299
Na -0.222 0.040 4.118
Al -0.898 -3.744 5.210
Al -3.013 0.210 2.726
Al -2.556 2.131 7.693
Al -3.230 7.307 3.207
Al -1.115 3.353 5.691
Al -1.572 1.432 0.723
Zn -1.605 -0.955 6.721
Zn -2.007 -2.241 2.997
Zn -2.709 1.032 5.305
Zn -2.523 4.518 1.696
Zn -2.121 5.803 5.420
Zn -1.419 2.531 3.112


No. 2
5
Lattice="6.308 0.000 0.000 0.000 6.308 0.000 0.000 0.000 2.610" Properties=species:S:1:pos:R:3 comment="BeTe2CN, relaxed, DFT GGA-PBE" dft_energy_ev_per_atom=-4.357 magmom_total_mub_per_fu=0.00 de_polymorph_ev_per_atom=0.0000 formation_energy_uncorrected_mev_per_atom=1155 dos_at_fermi_per_ev_atom=0.285 pbc="T T T"
Be 3.154 3.154 1.305
C 0.000 0.000 0.000
Te 0.000 3.154 0.000
Te 3.154 0.000 0.000
N 0.000 0.000 1.305


No. 3
4
Lattice="-0.863 -2.209 0.727 0.663 -0.977 -2.181 6.585 -1.669 2.750" Properties=species:S:1:pos:R:3 comment="LiMnNi2, relaxed, DFT GGA-PBE" dft_energy_ev_per_atom=-5.608 magmom_total_mub_per_fu=0.00 ef_ev_per_atom=0.053 dos_at_fermi_per_ev_atom=0.948 pbc="T T T"
Li 1.546 -2.010 -0.040
Mn 4.839 -2.844 1.335
Ni 6.463 -1.638 2.699
Ni 3.414 -0.865 1.426


No. 4
5
Lattice="5.167 0.000 0.000 0.000 5.167 0.000 0.000 0.000 5.156" Properties=species:S:1:pos:R:3 comment="BaLiIn2Ag, relaxed, DFT GGA-PBE" dft_energy_ev_per_atom=-2.589 magmom_total_mub_per_fu=0.00 ef_ev_per_atom=-0.156 dos_at_fermi_per_ev_atom=0.491 pbc="T T T"
Li 0.000 0.000 0.000
Ba 2.583 2.583 2.578
Ag 0.000 0.000 2.578
In 0.000 2.583 0.000
In 2.583 0.000 0.000


No. 5
14
Lattice="8.535 0.000 0.000 4.268 7.392 0.000 4.268 2.464 5.577" Properties=species:S:1:pos:R:3 comment="PrIn3Ag3, relaxed, DFT GGA-PBE" dft_energy_ev_per_atom=-3.211 magmom_total_mub_per_fu=0.00 de_polymorph_ev_per_atom=0.0000 ef_ev_per_atom=-0.133 dos_at_fermi_per_ev_atom=0.283 pbc="T T T"
Pr 8.535 4.928 5.553
Pr 8.535 4.928 0.024
In 9.995 7.324 3.543
In 9.881 2.466 3.543
In 5.731 4.994 3.543
In 11.340 4.862 2.034
In 7.190 7.390 2.034
In 7.076 2.532 2.034
Ag 5.456 5.320 0.826
Ag 9.736 2.065 0.826
Ag 10.414 7.399 0.826
Ag 6.657 2.457 4.751
Ag 7.335 7.791 4.751
Ag 11.615 4.536 4.751


No. 6
8
Lattice="-0.933 -5.541 1.461 -1.357 -1.225 -5.510 5.644 -4.879 -3.364" Properties=species:S:1:pos:R:3 comment="KMnNb2, relaxed, DFT GGA-PBE" dft_energy_ev_per_atom=-5.990 magmom_total_mub_per_fu=0.00 de_polymorph_ev_per_atom=0.2127 ef_ev_per_atom=1.611 dos_at_fermi_per_ev_atom=1.524 pbc="T T T"
Nb 0.425 -6.221 -0.251
Nb -0.253 -6.834 -3.006
Nb 3.714 -5.890 -2.664
Nb 3.248 -8.660 -1.933
Mn 0.000 0.000 0.000
Mn 1.783 -6.901 -1.963
K -1.145 -3.383 -2.024
K 1.571 -4.743 -5.449


No. 7
5
Lattice="4.113 0.000 0.000 0.000 5.008 0.000 0.000 0.000 4.113" Properties=species:S:1:pos:R:3 comment="NaLiHgH2, relaxed, DFT GGA-PBE" dft_energy_ev_per_atom=-1.711 magmom_total_mub_per_fu=0.00 dos_at_fermi_per_ev_atom=0.253 pbc="T T T"
Na 2.056 2.504 2.056
Hg 0.000 0.000 0.000
H 0.000 0.000 2.056
H 2.056 0.000 0.000
Li 0.000 2.504 0.000


No. 8
10
Lattice="-0.607 0.780 -4.374 -1.083 -4.351 0.008 -9.607 2.394 1.759" Properties=species:S:1:pos:R:3 comment="Pu2PaTc2, relaxed, DFT GGA-PBE" dft_energy_ev_per_atom=-11.533 magmom_total_mub_per_fu=4.00 ef_ev_per_atom=0.245 dos_at_fermi_per_ev_atom=2.464 pbc="T T T"
Pu -7.272 -0.940 -1.891
Pu -1.829 -0.785 -1.118
Pu -9.468 -0.392 -1.489
Pu -4.025 -0.237 -0.715
Pa -3.741 -2.232 -3.021
Pa -7.555 1.056 0.415
Tc -0.980 -3.238 -0.942
Tc -5.513 0.864 -2.544
Tc -5.783 -2.041 -0.062
Tc -0.710 -0.333 -3.423


Number 1 is which compound?
NaAl3Zn3